1.
Entry from Alexandria: a relaxed structure of Pr3HoEr12 (PBE-GGA).

a = 5.0147 Å, b = 5.0147 Å, c = 20.0665 Å
α = 90.00°, β = 90.00°, γ = 90.00°
Last column: nearest neighbours and their distance in Å.
Sites, in units of the cell vectors:
Pr: 0.0000 0.0000 0.0000  12 Er 3.55-3.56
Pr: 0.0000 0.0000 0.2509  12 Er 3.55-3.57
Pr: 0.0000 0.0000 0.7491  12 Er 3.55-3.57
Ho: 0.0000 0.0000 0.5000  12 Er 3.51-3.55
Er: 0.0000 0.5000 0.1258  8 Er 3.55-3.56, 4 Pr 3.55-3.56
Er: 0.0000 0.5000 0.3774  2 Ho 3.51, 8 Er 3.51-3.55, 2 Pr 3.57
Er: 0.0000 0.5000 0.6226  2 Ho 3.51, 8 Er 3.51-3.55, 2 Pr 3.57
Er: 0.0000 0.5000 0.8742  8 Er 3.55-3.56, 4 Pr 3.55-3.56
Er: 0.5000 0.0000 0.1258  8 Er 3.55-3.56, 4 Pr 3.55-3.56
Er: 0.5000 0.0000 0.3774  2 Ho 3.51, 8 Er 3.51-3.55, 2 Pr 3.57
Er: 0.5000 0.0000 0.6226  2 Ho 3.51, 8 Er 3.51-3.55, 2 Pr 3.57
Er: 0.5000 0.0000 0.8742  8 Er 3.55-3.56, 4 Pr 3.55-3.56
Er: 0.5000 0.5000 0.0000  4 Pr 3.55, 8 Er 3.56
Er: 0.5000 0.5000 0.2519  4 Pr 3.55, 8 Er 3.55-3.56
Er: 0.5000 0.5000 0.5000  8 Er 3.51, 4 Ho 3.55
Er: 0.5000 0.5000 0.7481  4 Pr 3.55, 8 Er 3.55-3.56

Properties
Its crystal system is tetragonal.

2.
Entry from Alexandria: a relaxed structure of NaScPtN2 (PBE-GGA).

a = 4.0656 Å, b = 4.0656 Å, c = 4.6697 Å
α = 90.00°, β = 90.00°, γ = 90.00°
Last column: nearest neighbours and their distance in Å.
Sites, in units of the cell vectors:
Na: 0.0000 0.0000 0.0000  2 Pt 2.33
Sc: 0.5000 0.5000 0.0000  4 Na 2.87, 8 N 3.10
Pt: 0.0000 0.0000 0.5000  4 N 2.03
N: 0.0000 0.5000 0.5000  2 Pt 2.03
N: 0.5000 0.0000 0.5000  2 Pt 2.03

Properties
Its crystal system is tetragonal. The value obtained for the uncorrected formation energy is 1.13 eV/atom.

3.
Entry from Alexandria: a relaxed structure of VCo2Re2 (PBE-GGA).

a = 7.1050 Å, b = 7.1050 Å, c = 2.6186 Å
α = 90.00°, β = 90.00°, γ = 90.00°
Last column: nearest neighbours and their distance in Å.
Sites, in units of the cell vectors:
V: 0.0000 0.0000 0.0000  2 V 2.62, 4 Co 2.84, 8 Re 2.93
V: 0.5000 0.5000 0.0000  2 V 2.62, 4 Co 2.84, 8 Re 2.93
Co: 0.1191 0.3809 0.0000  3 Co 2.39-2.62, 6 Re 2.43-2.51
Co: 0.3809 0.8809 0.0000  3 Co 2.39-2.62, 6 Re 2.43-2.51
Co: 0.6191 0.1191 0.0000  3 Co 2.39-2.62, 6 Re 2.43-2.51
Co: 0.8809 0.6191 0.0000  3 Co 2.39-2.62, 6 Re 2.43-2.51
Re: 0.1767 0.6767 0.5000  6 Co 2.43-2.51, 2 Re 2.62
Re: 0.3233 0.1767 0.5000  6 Co 2.43-2.51, 2 Re 2.62
Re: 0.6767 0.8233 0.5000  6 Co 2.43-2.51, 2 Re 2.62
Re: 0.8233 0.3233 0.5000  6 Co 2.43-2.51, 2 Re 2.62

Properties
Its crystal system is tetragonal.

4.
Entry from Alexandria: a relaxed structure of Cu2RhPb2O6 (PBE-GGA).

a = 6.1350 Å, b = 6.1350 Å, c = 6.1350 Å
α = 57.13°, β = 57.13°, γ = 57.13°
Last column: nearest neighbours and their distance in Å.
Sites, in units of the cell vectors:
Cu: 0.0939 0.0939 0.0939  3 O 1.86
Cu: 0.9061 0.9061 0.9061  3 O 1.86
Rh: 0.5000 0.5000 0.5000  6 O 2.00
Pb: 0.2923 0.2923 0.2923  3 O 2.44
Pb: 0.7077 0.7077 0.7077  3 O 2.44
O: 0.2657 0.2657 0.7180  1 Cu 1.86, 1 Rh 2.00
O: 0.2657 0.7180 0.2657  1 Cu 1.86, 1 Rh 2.00
O: 0.2820 0.7343 0.7343  1 Cu 1.86, 1 Rh 2.00
O: 0.7180 0.2657 0.2657  1 Cu 1.86, 1 Rh 2.00
O: 0.7343 0.2820 0.7343  1 Cu 1.86, 1 Rh 2.00
O: 0.7343 0.7343 0.2820  1 Cu 1.86, 1 Rh 2.00

Properties
Its crystal system is trigonal. The value obtained for the uncorrected formation energy is -0.71 eV/atom.

5.
Entry from Alexandria: a relaxed structure of GeSbIO2 (PBE-GGA).

a = 4.0778 Å, b = 4.0778 Å, c = 6.1184 Å
α = 90.00°, β = 90.00°, γ = 90.00°
Last column: nearest neighbours and their distance in Å.
Sites, in units of the cell vectors:
Ge: 0.0000 0.0000 0.0000  4 O 2.04
Sb: 0.5000 0.5000 0.5000  4 I 2.88
I: 0.0000 0.0000 0.5000  4 Sb 2.88, 2 Ge 3.06
O: 0.0000 0.5000 0.0000  2 Ge 2.04
O: 0.5000 0.0000 0.0000  2 Ge 2.04

Properties
Its crystal system is tetragonal. As for the distance to the lowest polymorph of the same formula: 1.25 eV/f.u. The value obtained for the uncorrected formation energy is 0.06 eV/atom.

6.
Entry from Alexandria: a relaxed structure of Pu2PtF (PBE-GGA).

a = 6.7125 Å, b = 6.7125 Å, c = 6.7125 Å
α = 34.66°, β = 34.66°, γ = 34.66°
Last column: nearest neighbours and their distance in Å.
Sites, in units of the cell vectors:
Pu: 0.2438 0.2438 0.2438  3 F 2.73, 3 Pt 2.86
Pu: 0.7562 0.7562 0.7562  3 F 2.73, 3 Pt 2.86
Pt: 0.0000 0.0000 0.0000  6 Pu 2.86
F: 0.5000 0.5000 0.5000  6 Pu 2.73

Properties
Its crystal system is trigonal. As for the distance to the lowest polymorph of the same formula: 0.00 eV/f.u. The value obtained for the uncorrected formation energy is -1.34 eV/atom.

| no. | raw total energy (eV/f.u.) | calculated volume (Å³/cell) |
| --- | --- | --- |
| 1 | -73.25 | 504.6 |
| 2 | -24.67 | 77.2 |
| 3 | -47.75 | 132.2 |
| 4 | -60.50 | 152.5 |
| 5 | -19.88 | 101.7 |
| 6 | -41.92 | 87.3 |